No. 1
CeHfU2N4 | PBE | optimized geometry

M_tot ... 0.297 μB/atom
Electronic total energy ... -10.45 eV/atom
Energy relative to the elements, uncorrected ... -1.4760 eV per atom

Geometry as POSCAR:
```
CeHfU2N4
1.0
5.8680 0.0000 0.0000
0.0000 3.3833 0.0000
-1.9391 0.0000 5.6515
Ce Hf U N
1 1 2 4
direct
0.0000 0.0000 0.0000 Ce
0.0000 0.5000 0.5000 Hf
0.5000 0.0000 0.5000 U
0.5000 0.5000 0.0000 U
0.2400 0.0000 0.7228 N
0.2549 0.5000 0.2795 N
0.7451 0.5000 0.7205 N
0.7600 0.0000 0.2772 N
```

No. 2
Zr4PS2 | PBE | optimized geometry

M_tot ... 0.000 μB/atom
Electronic total energy ... -8.07 eV/atom
Energy relative to the elements, uncorrected ... -1.2377 eV per atom

Geometry as POSCAR:
```
Zr4PS2
1.0
1.8347 -5.9337 0.0000
1.8347 5.9337 0.0000
0.0000 0.0000 12.1553
Zr P S
8 2 4
direct
0.0000 0.0000 0.0000 Zr
0.0000 0.0000 0.5000 Zr
0.2796 0.7204 0.6230 Zr
0.2796 0.7204 0.8770 Zr
0.4550 0.5450 0.2500 Zr
0.5450 0.4550 0.7500 Zr
0.7204 0.2796 0.1230 Zr
0.7204 0.2796 0.3770 Zr
0.1111 0.8889 0.2500 P
0.8889 0.1111 0.7500 P
0.3626 0.6374 0.0669 S
0.3626 0.6374 0.4331 S
0.6374 0.3626 0.5669 S
0.6374 0.3626 0.9331 S
```

No. 3
SbAsWI2 | PBE | optimized geometry

Relative energy among the computed polymorphs ... 505.9 meV per atom
M_tot ... 0.761 μB/atom
Electronic total energy ... -3.42 eV/atom
Energy relative to the elements, uncorrected ... 1.5419 eV per atom

Geometry as POSCAR:
```
SbAsWI2
1.0
5.4857 0.0000 0.0000
0.0000 5.4857 0.0000
0.0000 0.0000 5.6175
Sb As W I
1 1 1 2
direct
0.0000 0.0000 0.0000 Sb
0.0000 0.0000 0.5000 As
0.5000 0.5000 0.0000 W
0.0000 0.5000 0.5000 I
0.5000 0.0000 0.5000 I
```